[1]
# LiAcLaHg, relaxed, DFT PBE
# Calculated total energy ... -3.016 eV per atom
# Total magnetization ... 0.0 μB/f.u.
data_LiAcLaHg
_symmetry_space_group_name_H-M 'F -4 3 m'
_symmetry_Int_Tables_number 216
_symmetry_space_group_name_Hall 'F -4 2 3'
_cell_length_a 7.930
_cell_length_b 7.930
_cell_length_c 7.930
_cell_angle_alpha 90.00
_cell_angle_beta 90.00
_cell_angle_gamma 90.00
loop_
_atom_site_label
_atom_site_fract_x
_atom_site_fract_y
_atom_site_fract_z
Li1 0.000 0.000 0.000
Ac1 0.250 0.250 0.750
La1 0.250 0.250 0.250
Hg1 0.000 0.000 0.500

***

[2]
# RbBaCd2Cu, relaxed, DFT PBE
# Calculated total energy ... -1.710 eV per atom
# Total magnetization ... 0.0 μB/f.u.
data_RbBaCd2Cu
_symmetry_space_group_name_H-M 'P 4/m m m'
_symmetry_Int_Tables_number 123
_symmetry_space_group_name_Hall '-P 4 2'
_cell_length_a 5.458
_cell_length_b 5.458
_cell_length_c 5.780
_cell_angle_alpha 90.00
_cell_angle_beta 90.00
_cell_angle_gamma 90.00
loop_
_atom_site_label
_atom_site_fract_x
_atom_site_fract_y
_atom_site_fract_z
Rb1 0.000 0.000 0.000
Ba1 0.500 0.500 0.000
Cd1 0.000 0.500 0.500
Cu1 0.500 0.500 0.500

***

[3]
# VCoS3, relaxed, DFT PBE
# Formation energy from raw total energies ... 0.367 eV per atom
# Calculated total energy ... -5.354 eV per atom
# Total magnetization ... 2.1 μB/f.u.
data_VCoS3
_symmetry_space_group_name_H-M 'P m -3 m'
_symmetry_Int_Tables_number 221
_symmetry_space_group_name_Hall '-P 4 2 3'
_cell_length_a 4.546
_cell_length_b 4.546
_cell_length_c 4.546
_cell_angle_alpha 90.00
_cell_angle_beta 90.00
_cell_angle_gamma 90.00
loop_
_atom_site_label
_atom_site_fract_x
_atom_site_fract_y
_atom_site_fract_z
V1 0.000 0.000 0.000
Co1 0.500 0.500 0.500
S1 0.000 0.000 0.500

***

[4]
# CrReTc2, relaxed, DFT PBE
# Calculated total energy ... -10.568 eV per atom
# Total magnetization ... 0.0 μB/f.u.
data_CrReTc2
_symmetry_space_group_name_H-M 'P m m m'
_symmetry_Int_Tables_number 47
_cell_length_a 2.729
_cell_length_b 3.825
_cell_length_c 5.415
_cell_angle_alpha 90.00
_cell_angle_beta 90.00
_cell_angle_gamma 90.00
loop_
_symmetry_equiv_pos_as_xyz
'x,y,z'
'-x,-y,-z'
'-x,-y,z'
'x,y,-z'
'x,-y,-z'
'-x,y,z'
'-x,y,-z'
'x,-y,z'
loop_
_atom_site_label
_atom_site_fract_x
_atom_site_fract_y
_atom_site_fract_z
Cr1 0.000 0.000 0.000
Re1 0.000 0.000 0.500
Tc1 0.500 0.500 0.240

***

What is the formula in the first record? LiAcLaHg

***

total magnetization of number 4 (CrReTc2)? 0.0 μB/f.u.

***

What did the first record say?
# LiAcLaHg, relaxed, DFT PBE
# Calculated total energy ... -3.016 eV per atom
# Total magnetization ... 0.0 μB/f.u.
data_LiAcLaHg
_symmetry_space_group_name_H-M 'F -4 3 m'
_symmetry_Int_Tables_number 216
_symmetry_space_group_name_Hall 'F -4 2 3'
_cell_length_a 7.930
_cell_length_b 7.930
_cell_length_c 7.930
_cell_angle_alpha 90.00
_cell_angle_beta 90.00
_cell_angle_gamma 90.00
loop_
_atom_site_label
_atom_site_fract_x
_atom_site_fract_y
_atom_site_fract_z
Li1 0.000 0.000 0.000
Ac1 0.250 0.250 0.750
La1 0.250 0.250 0.250
Hg1 0.000 0.000 0.500